Below is crystalline Ta3MnBe at its relaxed geometry, with properties calculated at the GGA-PBE level.

Its formation energy is 1.059 eV/atom. The calculation puts the energy above the most stable polymorph in this dataset at 0.205 eV per atom.

The structure belongs to space group Pm-3m (No. 221); the cell edges are 4.548, 4.548 and 4.548 Å and the angles 90.00°, 90.00° and 90.00°. The asymmetric unit holds Ta at (0.000, 0.000, 0.500), Mn at (0.000, 0.000, 0.000) and Be at (0.500, 0.500, 0.500).


Below is crystalline TaMnBe at its relaxed geometry, with properties calculated at the GGA-PBE level.

Its formation energy is -0.228 eV/atom. The calculation puts the energy above the most stable polymorph in this dataset at 0.000 eV per atom.

The structure belongs to space group Imma (No. 74); the cell edges are 4.693, 4.732 and 6.627 Å and the angles 90.00°, 90.00° and 90.00°. The asymmetric unit holds Ta at (0.000, 0.250, 0.124), Mn at (0.250, 0.250, 0.750) and Be at (0.000, 0.000, 0.500).


Below is crystalline TaMn3Be8 at its relaxed geometry, with properties calculated at the GGA-PBE level.

Its formation energy is -0.267 eV/atom.

The structure belongs to space group P3m1 (No. 156); the cell edges are 4.2740, 4.2740 and 7.0178 Å and the angles 90.00°, 90.00° and 120.00°. The asymmetric unit holds Ta at (0.0000, 0.0000, 0.0000), Mn at (0.0000, 0.0000, 0.3766), Mn at (0.6667, 0.3333, 0.5036), Mn at (0.6667, 0.3333, 0.8703), Be at (0.1643, 0.3286, 0.6803), Be at (0.3333, 0.6667, 0.4414), Be at (0.3333, 0.6667, 0.9322) and Be at (0.5029, 0.0058, 0.2000).


Below is crystalline TaMnBe at its relaxed geometry, with properties calculated at the GGA-PBE level.

Its formation energy is 1.021 eV/atom. The calculation puts the energy above the most stable polymorph in this dataset at 1.249 eV per atom.

The structure belongs to space group F-43m (No. 216); the cell edges are 5.724, 5.724 and 5.724 Å and the angles 90.00°, 90.00° and 90.00°. The asymmetric unit holds Ta at (0.000, 0.000, 0.000), Mn at (0.250, 0.250, 0.250) and Be at (0.250, 0.250, 0.750).


Below is crystalline Ta2MnBe2 at its relaxed geometry, with properties calculated at the GGA-PBE level.

Its formation energy is -0.226 eV/atom. The calculation puts the energy above the most stable polymorph in this dataset at 0.000 eV per atom.

The structure belongs to space group P4/mbm (No. 127); the cell edges are 6.170, 6.170 and 3.284 Å and the angles 90.00°, 90.00° and 90.00°. The asymmetric unit holds Ta at (0.179, 0.321, 0.000), Mn at (0.000, 0.000, 0.500) and Be at (0.119, 0.619, 0.500).


Below is crystalline TaMnBe3 at its relaxed geometry, with properties calculated at the GGA-PBE level.

Its formation energy is 1.658 eV/atom. The calculation puts the energy above the most stable polymorph in this dataset at 1.118 eV per atom.

The structure belongs to space group Pm-3m (No. 221); the cell edges are 4.415, 4.415 and 4.415 Å and the angles 90.00°, 90.00° and 90.00°. The asymmetric unit holds Ta at (0.000, 0.000, 0.000), Mn at (0.500, 0.500, 0.500) and Be at (0.000, 0.000, 0.500).


Below is crystalline TaMnBe at its relaxed geometry, with properties calculated at the GGA-PBE level.

Its formation energy is -0.035 eV/atom. The calculation puts the energy above the most stable polymorph in this dataset at 0.193 eV per atom.

The structure belongs to space group I4mm (No. 107); the cell edges are 3.081, 3.081 and 7.993 Å and the angles 90.00°, 90.00° and 90.00°. The asymmetric unit holds Ta at (0.000, 0.000, 0.000), Mn at (0.000, 0.000, 0.325) and Be at (0.000, 0.000, 0.682).


Below is crystalline TaMnBe at its relaxed geometry, with properties calculated at the GGA-PBE level.

Its formation energy is 0.084 eV/atom. The calculation puts the energy above the most stable polymorph in this dataset at 0.312 eV per atom.

The structure belongs to space group P3m1 (No. 156); the cell edges are 4.1065, 4.1065 and 2.6482 Å and the angles 90.00°, 90.00° and 120.00°. The asymmetric unit holds Ta at (0.0000, 0.0000, 0.0000), Mn at (0.3333, 0.6667, 0.6679) and Be at (0.6667, 0.3333, 0.4303).


Below is crystalline TaMn2Be9 at its relaxed geometry, with properties calculated at the GGA-PBE level.

Its formation energy is -0.206 eV/atom.

The structure belongs to space group R-3m (No. 166, hexagonal axes); the cell edges are 4.3105, 4.3105 and 20.2463 Å and the angles 90.00°, 90.00° and 120.00°. The asymmetric unit holds Ta at (0.0000, 0.0000, 0.0000), Mn at (0.0000, 0.0000, 0.1428), Be at (0.0000, 0.0000, 0.3336), Be at (0.0000, 0.0000, 0.5000) and Be at (0.0057, 0.5028, 0.9143).


Below is crystalline TaMnBe4 at its relaxed geometry, with properties calculated at the GGA-PBE level.

Its formation energy is -0.304 eV/atom.

The structure belongs to space group F-43m (No. 216); the cell edges are 6.182, 6.182 and 6.182 Å and the angles 90.00°, 90.00° and 90.00°. The asymmetric unit holds Ta at (0.000, 0.000, 0.000), Mn at (0.250, 0.250, 0.750) and Be at (0.124, 0.124, 0.376).


Below is crystalline TaMnBe5 at its relaxed geometry, with properties calculated at the GGA-PBE level.

Its formation energy is -0.189 eV/atom.

The structure belongs to space group Pnma (No. 62); the cell edges are 7.114, 4.311 and 8.853 Å and the angles 90.00°, 90.00° and 90.00°. The asymmetric unit holds Ta at (0.237, 0.250, 0.069), Mn at (0.132, 0.750, 0.869), Be at (0.045, 0.750, 0.111), Be at (0.066, 0.009, 0.315), Be at (0.087, 0.250, 0.517) and Be at (0.191, 0.250, 0.749).


Below is crystalline Ta3MnBe8 at its relaxed geometry, with properties calculated at the GGA-PBE level.

Its formation energy is -0.230 eV/atom.

The structure belongs to space group R3m (No. 160, hexagonal axes); the cell edges are 4.5062, 4.5062 and 22.0359 Å and the angles 90.00°, 90.00° and 120.00°. The asymmetric unit holds Ta at (0.0000, 0.0000, 0.0000), Ta at (0.0000, 0.0000, 0.1280), Ta at (0.0000, 0.0000, 0.5090), Mn at (0.0000, 0.0000, 0.6287), Be at (0.0000, 0.0000, 0.3163), Be at (0.0000, 0.0000, 0.8159), Be at (0.1671, 0.3342, 0.9007) and Be at (0.1677, 0.3354, 0.3984).


Below is crystalline TaMn4Be at its relaxed geometry, with properties calculated at the GGA-PBE level.

Its formation energy is 0.000 eV/atom.

The structure belongs to space group F-43m (No. 216); the cell edges are 6.616, 6.616 and 6.616 Å and the angles 90.00°, 90.00° and 90.00°. The asymmetric unit holds Ta at (0.000, 0.000, 0.000), Mn at (0.124, 0.124, 0.376) and Be at (0.250, 0.250, 0.750).


Below is crystalline TaMnBe at its relaxed geometry, with properties calculated at the GGA-PBE level.

Its formation energy is 0.400 eV/atom. The calculation puts the energy above the most stable polymorph in this dataset at 0.628 eV per atom.

The structure belongs to space group F-43m (No. 216); the cell edges are 5.430, 5.430 and 5.430 Å and the angles 90.00°, 90.00° and 90.00°. The asymmetric unit holds Ta at (0.000, 0.000, 0.000), Mn at (0.000, 0.000, 0.500) and Be at (0.250, 0.250, 0.250).


Below is crystalline TaMnBe10 at its relaxed geometry, with properties calculated at the GGA-PBE level.

Its formation energy is -0.120 eV/atom.

The structure belongs to space group Pmmm (No. 47); the cell edges are 3.405, 4.308 and 7.520 Å and the angles 90.00°, 90.00° and 90.00°. The asymmetric unit holds Ta at (0.000, 0.000, 0.000), Mn at (0.000, 0.500, 0.500), Be at (0.000, 0.000, 0.340), Be at (0.000, 0.500, 0.180), Be at (0.500, 0.000, 0.500), Be at (0.500, 0.244, 0.250) and Be at (0.500, 0.500, 0.000).


Below is crystalline Ta2MnBe3 at its relaxed geometry, with properties calculated at the GGA-PBE level.

Its formation energy is -0.194 eV/atom.

The structure belongs to space group R-3m (No. 166, hexagonal axes); the cell edges are 4.6553, 4.6553 and 11.4551 Å and the angles 90.00°, 90.00° and 120.00°. The asymmetric unit holds Ta at (0.0000, 0.0000, 0.1270), Mn at (0.0000, 0.0000, 0.5000) and Be at (0.0000, 0.5000, 0.0000).


Below is crystalline TaTiMnBe at its relaxed geometry, with properties calculated at the GGA-PBE level.

Its formation energy is -0.191 eV/atom. The calculation puts the energy above the most stable polymorph in this dataset at 0.000 eV per atom.

The structure belongs to space group P4mm (No. 99); the cell edges are 3.024, 3.024 and 5.883 Å and the angles 90.00°, 90.00° and 90.00°. The asymmetric unit holds Ta at (0.000, 0.000, 0.000), Ti at (0.000, 0.000, 0.500), Mn at (0.500, 0.500, 0.256) and Be at (0.500, 0.500, 0.741).


Below is crystalline TaTiMnBe at its relaxed geometry, with properties calculated at the GGA-PBE level.

Its formation energy is -0.115 eV/atom. The calculation puts the energy above the most stable polymorph in this dataset at 0.076 eV per atom.

The structure belongs to space group F-43m (No. 216); the cell edges are 6.013, 6.013 and 6.013 Å and the angles 90.00°, 90.00° and 90.00°. The asymmetric unit holds Ta at (0.000, 0.000, 0.000), Ti at (0.000, 0.000, 0.500), Mn at (0.250, 0.250, 0.750) and Be at (0.250, 0.250, 0.250).


Below is crystalline TaMnBeZn2 at its relaxed geometry, with properties calculated at the GGA-PBE level.

Its formation energy is 0.506 eV/atom.

The structure belongs to space group P4/mmm (No. 123); the cell edges are 4.108, 4.108 and 4.510 Å and the angles 90.00°, 90.00° and 90.00°. The asymmetric unit holds Ta at (0.000, 0.000, 0.000), Mn at (0.500, 0.500, 0.000), Be at (0.000, 0.000, 0.500) and Zn at (0.000, 0.500, 0.500).


Below is crystalline TbMn10Be2 at its relaxed geometry, with properties calculated at the GGA-PBE level.

Its formation energy is -0.014 eV/atom.

The structure belongs to space group Cmcm (No. 63); the cell edges are 8.249, 9.362 and 7.933 Å and the angles 90.00°, 90.00° and 90.00°. The asymmetric unit holds Tb at (0.000, 0.125, 0.250), Mn at (0.000, 0.169, 0.599), Mn at (0.000, 0.394, 0.069), Mn at (0.133, 0.381, 0.750), Mn at (0.226, 0.000, 0.000), Mn at (0.246, 0.372, 0.250) and Be at (0.250, 0.250, 0.000).


no.,total magnetization (Bohr magnetons per cell)
1,0.00
2,0.00
3,1.73
4,0.76
5,0.00
6,3.33
7,0.00
8,0.00
9,8.34
10,0.00
11,5.33
12,0.00
13,6.14
14,1.58
15,3.00
16,0.00
17,0.00
18,0.00
19,3.30
20,4.72